First-principles (PBE) data for a relaxed structure of IrOs2Br, as listed in Alexandria via LeMat-Bulk.

a = 4.7036 Å, b = 4.7036 Å, c = 2.8210 Å
α = 90.00°, β = 90.00°, γ = 90.00°
Last column: nearest neighbours and their distance in Å.
Positions (direct):
Os: 0.5000 0.5000 0.0000  4 Br 2.74, 4 Ir 2.74, 2 Os 2.82
Br: 0.5000 0.0000 0.5000  8 Os 2.74, 2 Br 2.82
Os: 0.0000 0.0000 0.0000  4 Br 2.74, 4 Ir 2.74, 2 Os 2.82
Ir: 0.0000 0.5000 0.5000  8 Os 2.74, 2 Ir 2.82

Output
DOS(E_F) = 6.09 states/eV/cell
Magnetization = 1.05 μB/cell
Raw formation energy = 126.5 kJ/mol of atoms
Polymorph energy (0 for the lowest one) = 582 meV/atom

=====

First-principles (PBE) data for a relaxed structure of IrOsBr4, as listed in Alexandria via LeMat-Bulk.

a = 5.8649 Å, b = 5.8649 Å, c = 5.8649 Å
α = 60.00°, β = 60.00°, γ = 60.00°
Last column: nearest neighbours and their distance in Å.
Positions (direct):
Os: 0.0000 0.0000 0.0000  12 Br 3.44, 4 Ir 3.59
Br: 0.3749 0.3749 0.8754  6 Br 2.93-2.94
Ir: 0.7500 0.7500 0.7500  12 Br 3.44, 4 Os 3.59
Br: 0.3749 0.3749 0.3749  6 Br 2.93-2.94
Br: 0.3749 0.8754 0.3749  6 Br 2.93-2.94
Br: 0.8754 0.3749 0.3749  6 Br 2.93-2.94

Output
DOS(E_F) = 8.89 states/eV/cell
Magnetization = 4.47 μB/cell
Raw formation energy = 218.4 kJ/mol of atoms

=====

First-principles (PBE) data for a relaxed structure of IrOs2Br, as listed in Alexandria via LeMat-Bulk.

a = 6.2081 Å, b = 6.2081 Å, c = 6.2081 Å
α = 154.25°, β = 139.54°, γ = 48.58°
Last column: nearest neighbours and their distance in Å.
Positions (direct):
Ir: 0.2500 0.7500 0.5000  4 Br 2.55, 4 Os 2.76, 2 Ir 2.77
Br: 0.7500 0.2500 0.5000  4 Ir 2.55, 2 Br 2.77
Os: 0.4610 0.4610 0.0000  6 Os 2.70-2.77, 2 Ir 2.76
Os: 0.0390 0.0390 0.0000  6 Os 2.70-2.77, 2 Ir 2.76

Output
DOS(E_F) = 3.57 states/eV/cell
Magnetization = 0.00 μB/cell
Raw formation energy = 102.4 kJ/mol of atoms
Polymorph energy (0 for the lowest one) = 332 meV/atom

=====

First-principles (PBE) data for a relaxed structure of IrOs2Br, as listed in Alexandria via LeMat-Bulk.

a = 4.5870 Å, b = 4.5870 Å, c = 4.5870 Å
α = 125.16°, β = 125.16°, γ = 81.28°
Last column: nearest neighbours and their distance in Å.
Positions (direct):
Ir: 0.7500 0.2500 0.5000  8 Os 2.74, 4 Br 2.99
Os: 0.0000 0.0000 0.0000  4 Ir 2.74, 4 Br 2.74, 4 Os 2.99
Br: 0.2500 0.7500 0.5000  8 Os 2.74, 4 Ir 2.99
Os: 0.5000 0.5000 0.0000  4 Br 2.74, 4 Ir 2.74, 4 Os 2.99

Output
DOS(E_F) = 5.16 states/eV/cell
Magnetization = 0.00 μB/cell
Raw formation energy = 130.7 kJ/mol of atoms
Polymorph energy (0 for the lowest one) = 625 meV/atom

=====

First-principles (PBE) data for a relaxed structure of IrOs2Br, as listed in Alexandria via LeMat-Bulk.

a = 4.7429 Å, b = 4.7429 Å, c = 2.8066 Å
α = 90.00°, β = 90.00°, γ = 101.69°
Last column: nearest neighbours and their distance in Å.
Positions (direct):
Ir: 0.0000 0.5000 0.5000  8 Os 2.76, 2 Ir 2.81, 2 Br 2.99
Os: 0.5000 0.5000 0.0000  4 Ir 2.76, 4 Br 2.76, 4 Os 2.81-2.99
Os: 0.0000 0.0000 0.0000  4 Br 2.76, 4 Ir 2.76, 4 Os 2.81-2.99
Br: 0.5000 0.0000 0.5000  8 Os 2.76, 2 Br 2.81, 2 Ir 2.99

Output
DOS(E_F) = 5.17 states/eV/cell
Magnetization = 0.00 μB/cell
Raw formation energy = 122.0 kJ/mol of atoms
Polymorph energy (0 for the lowest one) = 535 meV/atom

=====

First-principles (PBE) data for a relaxed structure of IrOs2Br, as listed in Alexandria via LeMat-Bulk.

a = 4.5072 Å, b = 5.6085 Å, c = 2.8745 Å
α = 75.36°, β = 89.50°, γ = 113.55°
Last column: nearest neighbours and their distance in Å.
Positions (direct):
Br: 0.0000 0.5000 0.5000  4 Ir 2.66-2.68, 4 Os 2.81, 2 Br 2.87
Os: 0.5000 0.0000 0.5000  6 Os 2.66-2.87, 2 Ir 2.81, 2 Br 2.81
Ir: 0.5000 0.5000 0.0000  4 Br 2.66-2.68, 4 Os 2.81, 2 Ir 2.87
Os: 0.0000 0.0000 0.0000  6 Os 2.66-2.87, 2 Br 2.81, 2 Ir 2.81

Output
DOS(E_F) = 5.70 states/eV/cell
Magnetization = 0.00 μB/cell
Raw formation energy = 132.4 kJ/mol of atoms
Polymorph energy (0 for the lowest one) = 642 meV/atom

=====

First-principles (PBE) data for a relaxed structure of IrOs2Br, as listed in Alexandria via LeMat-Bulk.

a = 6.0982 Å, b = 6.0982 Å, c = 6.3765 Å
α = 61.43°, β = 61.43°, γ = 90.00°
Last column: nearest neighbours and their distance in Å.
Positions (direct):
Os: 0.6446 0.1250 0.2500  2 Ir 2.38, 2 Br 2.53
Br: 0.2500 0.7500 0.5000  4 Os 2.53
Os: 0.3750 0.3554 0.7500  2 Ir 2.38, 2 Br 2.53
Ir: 0.7500 0.2500 0.5000  4 Os 2.38
Br: 0.5000 0.5000 0.0000  4 Os 2.53
Os: 0.8750 0.8946 0.7500  2 Ir 2.38, 2 Br 2.53
Ir: 0.0000 0.0000 0.0000  4 Os 2.38
Os: 0.1054 0.6250 0.2500  2 Ir 2.38, 2 Br 2.53

Output
DOS(E_F) = 7.11 states/eV/cell
Magnetization = 0.00 μB/cell
Raw formation energy = 144.8 kJ/mol of atoms
Polymorph energy (0 for the lowest one) = 770 meV/atom

=====

First-principles (PBE) data for a relaxed structure of IrOs2Br, as listed in Alexandria via LeMat-Bulk.

a = 3.7564 Å, b = 2.7866 Å, c = 6.5910 Å
α = 90.00°, β = 90.00°, γ = 90.00°
Last column: nearest neighbours and their distance in Å.
Positions (direct):
Ir: 0.5000 0.7500 0.7500  8 Os 2.66, 2 Ir 2.79
Br: 0.5000 0.2500 0.2500  4 Os 2.76, 2 Br 2.79
Os: 0.0000 0.2500 0.5568  3 Os 2.55-2.79, 4 Ir 2.66, 2 Br 2.76
Os: 0.0000 0.2500 0.9432  3 Os 2.55-2.79, 4 Ir 2.66, 2 Br 2.76

Output
DOS(E_F) = 3.81 states/eV/cell
Magnetization = 0.00 μB/cell
Raw formation energy = 77.9 kJ/mol of atoms
Polymorph energy (0 for the lowest one) = 78 meV/atom

=====

First-principles (PBE) data for a relaxed structure of IrOs2Br, as listed in Alexandria via LeMat-Bulk.

a = 4.6993 Å, b = 4.6993 Å, c = 4.6993 Å
α = 128.27°, β = 128.27°, γ = 76.18°
Last column: nearest neighbours and their distance in Å.
Positions (direct):
Os: 0.0000 0.0000 0.0000  4 Ir 2.76, 4 Os 2.76, 4 Br 2.90
Br: 0.5000 0.5000 0.0000  8 Os 2.76-2.90, 4 Ir 2.76
Os: 0.2500 0.7500 0.5000  4 Br 2.76, 4 Os 2.76, 4 Ir 2.90
Ir: 0.7500 0.2500 0.5000  8 Os 2.76-2.90, 4 Br 2.76

Output
DOS(E_F) = 3.12 states/eV/cell
Magnetization = 0.00 μB/cell
Raw formation energy = 128.0 kJ/mol of atoms
Polymorph energy (0 for the lowest one) = 597 meV/atom

=====

First-principles (PBE) data for a relaxed structure of IrOs2Br, as listed in Alexandria via LeMat-Bulk.

a = 9.0889 Å, b = 9.0889 Å, c = 9.0889 Å
α = 17.97°, β = 17.97°, γ = 17.97°
Last column: nearest neighbours and their distance in Å.
Positions (direct):
Os: 0.0034 0.0034 0.0034  3 Ir 2.70, 6 Os 2.84, 3 Br 2.85
Os: 0.4966 0.4966 0.4966  3 Ir 2.70, 6 Os 2.84, 3 Br 2.85
Br: 0.2500 0.2500 0.2500  6 Br 2.84, 6 Os 2.85
Ir: 0.7500 0.7500 0.7500  6 Os 2.70, 6 Ir 2.84

Output
DOS(E_F) = 3.78 states/eV/cell
Magnetization = 0.00 μB/cell
Raw formation energy = 84.3 kJ/mol of atoms
Polymorph energy (0 for the lowest one) = 144 meV/atom

=====

First-principles (PBE) data for a relaxed structure of IrOs2Br, as listed in Alexandria via LeMat-Bulk.

a = 4.6276 Å, b = 4.6276 Å, c = 7.7652 Å
α = 59.41°, β = 59.41°, γ = 35.90°
Last column: nearest neighbours and their distance in Å.
Positions (direct):
Ir: 0.7500 0.7500 0.7500  6 Os 2.59-2.69, 2 Ir 2.85
Os: 0.9603 0.9603 0.9047  4 Os 2.55-2.85, 3 Ir 2.59-2.69, 2 Br 2.71
Os: 0.5397 0.5397 0.5953  4 Os 2.55-2.85, 3 Ir 2.59-2.69, 2 Br 2.71
Br: 0.2500 0.2500 0.2500  4 Os 2.71, 2 Br 2.85

Output
DOS(E_F) = 4.00 states/eV/cell
Magnetization = 0.00 μB/cell
Raw formation energy = 85.2 kJ/mol of atoms
Polymorph energy (0 for the lowest one) = 153 meV/atom

=====

First-principles (PBE) data for a relaxed structure of IrOs2Br, as listed in Alexandria via LeMat-Bulk.

a = 2.7036 Å, b = 2.7021 Å, c = 12.4197 Å
α = 90.00°, β = 90.00°, γ = 119.76°
Last column: nearest neighbours and their distance in Å.
Positions (direct):
Os: 0.0000 0.0000 0.9357  2 Ir 2.68, 6 Os 2.70-2.71
Ir: 0.5000 0.5000 0.7500  4 Os 2.68, 6 Ir 2.70-2.71
Os: 0.0000 0.0000 0.5643  2 Ir 2.68, 6 Os 2.70-2.71
Br: 0.5000 0.5000 0.2500  6 Br 2.70-2.71

Output
DOS(E_F) = 6.32 states/eV/cell
Magnetization = 0.00 μB/cell
Raw formation energy = 102.4 kJ/mol of atoms
Polymorph energy (0 for the lowest one) = 331 meV/atom